VASP calculation (GGA-PBE) on crystalline Tm2CuPt at its relaxed geometry.

symmetry	No. 11
raw total energy	-5.54	eV per atom

Cell: 5.464 4.448 7.337 Å, 90.00 109.73 90.00°
Atoms (fractional coordinates):
Tm (0.220, 0.250, 0.433)
Tm (0.224, 0.250, 0.928)
Tm (0.776, 0.750, 0.072)
Tm (0.780, 0.750, 0.567)
Cu (0.338, 0.750, 0.207)
Cu (0.662, 0.250, 0.793)
Pt (0.342, 0.750, 0.712)
Pt (0.658, 0.250, 0.288)